1.
A relaxed Al4CoRu3 crystal, computed with PBE-GGA.

Unit cell a=6.6685 b=6.6685 c=6.6685 alpha=143.35 beta=143.35 gamma=52.80
Closest atoms and distances in Å follow each position.
Atoms (fractional coordinates):
Al  0.1224  0.6224  0.5000  2 Co 2.56, 6 Ru 2.56-2.60
Al  0.3776  0.8776  0.5000  2 Co 2.56, 6 Ru 2.56-2.60
Al  0.6224  0.1224  0.5000  2 Co 2.56, 6 Ru 2.56-2.60
Al  0.8776  0.3776  0.5000  2 Co 2.56, 6 Ru 2.56-2.60
Co  0.0000  0.0000  0.0000  8 Al 2.56
Ru  0.2494  0.2494  0.0000  8 Al 2.59-2.60
Ru  0.5000  0.5000  0.0000  8 Al 2.56
Ru  0.7506  0.7506  0.0000  8 Al 2.59-2.60

Properties
E_form = -0.660 eV per atom
V = 13.13 Å³ per atom
Mass density = 7.43 g/cm³

---

2.
A relaxed AlCo2Ru crystal, computed with PBE-GGA.

Unit cell a=2.9044 b=2.9044 c=5.8610 alpha=90.00 beta=90.00 gamma=90.00
Closest atoms and distances in Å follow each position.
Atoms (fractional coordinates):
Al  0.0000  0.0000  0.0000  5 Co 2.50-2.77, 4 Ru 2.58
Co  0.0000  0.0000  0.4729  4 Co 2.45, 4 Ru 2.56
Co  0.5000  0.5000  0.2439  4 Co 2.45, 4 Al 2.50
Ru  0.5000  0.5000  0.7348  4 Co 2.56, 4 Al 2.58

Properties
E_form = -0.187 eV per atom
V = 12.36 Å³ per atom
Mass density = 8.26 g/cm³

---

3.
A relaxed AlCoRu2 crystal, computed with PBE-GGA.

Unit cell a=8.4913 b=8.4913 c=8.4913 alpha=18.36 beta=18.36 gamma=18.36
Closest atoms and distances in Å follow each position.
Atoms (fractional coordinates):
Al  0.0000  0.0000  0.0000  3 Co 2.52, 3 Ru 2.65, 6 Al 2.71
Co  0.2544  0.2544  0.2544  3 Al 2.52, 3 Ru 2.58, 6 Co 2.71
Ru  0.5057  0.5057  0.5057  3 Co 2.58, 9 Ru 2.68-2.71
Ru  0.7522  0.7522  0.7522  3 Al 2.65, 9 Ru 2.68-2.71

Properties
E_form = -0.041 eV per atom
V = 13.27 Å³ per atom
Mass density = 9.01 g/cm³

---

4.
A relaxed Al2CoRu crystal, computed with PBE-GGA.

Unit cell a=5.3312 b=5.3312 c=5.3312 alpha=104.92 beta=104.92 gamma=119.02
Closest atoms and distances in Å follow each position.
Atoms (fractional coordinates):
Al  0.1057  0.6250  0.9807  2 Co 2.31, 2 Ru 2.48
Al  0.3750  0.3557  0.4807  2 Co 2.31, 2 Ru 2.48
Al  0.6443  0.1250  0.0193  2 Co 2.31, 2 Ru 2.48
Al  0.8750  0.8943  0.5193  2 Co 2.31, 2 Ru 2.48
Co  0.0000  0.0000  0.0000  4 Al 2.31
Co  0.7500  0.2500  0.5000  4 Al 2.31
Ru  0.2500  0.7500  0.5000  4 Al 2.48, 2 Co 2.70
Ru  0.5000  0.5000  0.0000  4 Al 2.48, 2 Co 2.70

Properties
E_form = 0.082 eV per atom
V = 14.27 Å³ per atom
Mass density = 6.22 g/cm³

---

5.
A relaxed AlCo2Ru crystal, computed with PBE-GGA.

Unit cell a=8.2802 b=8.2802 c=8.2802 alpha=18.56 beta=18.56 gamma=18.56
Closest atoms and distances in Å follow each position.
Atoms (fractional coordinates):
Al  0.0000  0.0000  0.0000  3 Co 2.51, 3 Ru 2.63, 6 Al 2.67
Co  0.2520  0.2520  0.2520  9 Co 2.46-2.67, 3 Al 2.51
Co  0.5067  0.5067  0.5067  9 Co 2.46-2.67, 3 Ru 2.60
Ru  0.7541  0.7541  0.7541  3 Co 2.60, 3 Al 2.63, 6 Ru 2.67

Properties
E_form = -0.023 eV per atom
V = 12.56 Å³ per atom
Mass density = 8.13 g/cm³

---

6.
A relaxed AlCo3Ru crystal, computed with PBE-GGA.

Unit cell a=4.1781 b=4.1781 c=4.1781 alpha=90.00 beta=90.00 gamma=90.00
Closest atoms and distances in Å follow each position.
Atoms (fractional coordinates):
Al  0.0000  0.0000  0.0000  6 Co 2.09
Co  0.0000  0.0000  0.5000  2 Al 2.09
Co  0.0000  0.5000  0.0000  2 Al 2.09
Co  0.5000  0.0000  0.0000  2 Al 2.09
Ru  0.5000  0.5000  0.5000  12 Co 2.95

Properties
E_form = 1.157 eV per atom
V = 14.59 Å³ per atom
Mass density = 6.94 g/cm³

---

7.
A relaxed Al4Co3Ru crystal, computed with PBE-GGA.

Unit cell a=2.9035 b=2.9035 c=11.5418 alpha=90.00 beta=90.00 gamma=90.00
Closest atoms and distances in Å follow each position.
Atoms (fractional coordinates):
Al  0.0000  0.0000  0.1228  8 Co 2.48-2.49
Al  0.0000  0.0000  0.3690  4 Co 2.52, 4 Ru 2.55
Al  0.0000  0.0000  0.6310  4 Co 2.52, 4 Ru 2.55
Al  0.0000  0.0000  0.8772  8 Co 2.48-2.49
Co  0.5000  0.5000  0.0000  8 Al 2.49
Co  0.5000  0.5000  0.2427  8 Al 2.48-2.52
Co  0.5000  0.5000  0.7573  8 Al 2.48-2.52
Ru  0.5000  0.5000  0.5000  8 Al 2.55

Properties
E_form = -0.618 eV per atom
V = 12.16 Å³ per atom
Mass density = 6.58 g/cm³

---

8.
A relaxed AlCoRu3 crystal, computed with PBE-GGA.

Unit cell a=4.4082 b=4.4082 c=4.4082 alpha=90.00 beta=90.00 gamma=90.00
Closest atoms and distances in Å follow each position.
Atoms (fractional coordinates):
Al  0.0000  0.0000  0.0000  12 Ru 3.12
Co  0.5000  0.5000  0.5000  6 Ru 2.20
Ru  0.0000  0.5000  0.5000  2 Co 2.20
Ru  0.5000  0.0000  0.5000  2 Co 2.20
Ru  0.5000  0.5000  0.0000  2 Co 2.20

Properties
E_form = 1.202 eV per atom
V = 17.13 Å³ per atom
Mass density = 7.54 g/cm³